Record 1
Ba2HgOs3O12 | PBE | optimized geometry

The structure in POSCAR format:
```
Ba2HgOs3O12
1.0
3.646 2.105 5.844
-3.646 2.105 5.844
0.000 -4.211 5.844
Ba Hg Os O
2 1 3 12
direct
0.111 0.111 0.111
0.889 0.889 0.889
0.500 0.500 0.500
0.000 0.500 0.500
0.500 0.000 0.500
0.500 0.500 0.000
0.024 0.638 0.638
0.223 0.223 0.622
0.223 0.622 0.223
0.362 0.362 0.976
0.362 0.976 0.362
0.378 0.777 0.777
0.622 0.223 0.223
0.638 0.024 0.638
0.638 0.638 0.024
0.777 0.378 0.777
0.777 0.777 0.378
0.976 0.362 0.362
```

Computed properties:
The symmetry is R-3m. Its raw formation energy is -1.34 eV per atom.


Record 2
CeNdI4 | PBE | optimized geometry

The structure in POSCAR format:
```
CeNdI4
1.0
5.091 -7.300 0.000
5.091 7.300 0.000
-4.749 0.000 6.017
Ce Nd I
2 2 8
direct
0.007 0.993 0.750
0.993 0.007 0.250
0.366 0.634 0.750
0.634 0.366 0.250
0.056 0.690 0.405
0.253 0.372 0.244
0.310 0.944 0.095
0.372 0.253 0.744
0.628 0.747 0.256
0.690 0.056 0.905
0.747 0.628 0.756
0.944 0.310 0.595
```

Computed properties:
The energy above the most stable polymorph in this dataset comes out at 0.40 kcal/mol of atoms. The symmetry is C2/c. Its raw formation energy is -1.16 eV per atom.


Record 3
Ba3CaSn8 | PBE | optimized geometry

The structure in POSCAR format:
```
Ba3CaSn8
1.0
-4.845 4.845 5.137
4.845 -4.845 5.137
4.845 4.845 -5.137
Ba Ca Sn
3 1 8
direct
0.000 0.000 0.000
0.250 0.750 0.500
0.750 0.250 0.500
0.500 0.500 0.000
0.136 0.136 0.695
0.200 0.636 0.000
0.364 0.364 0.564
0.441 0.441 0.305
0.559 0.864 0.000
0.636 0.200 0.000
0.800 0.800 0.436
0.864 0.559 0.000
```

Computed properties:
The symmetry is I-42m.


Record 4
Cs3ErU2Te6 | PBE | optimized geometry

The structure in POSCAR format:
```
Cs3ErU2Te6
1.0
3.944 -6.831 0.000
3.944 6.831 0.000
-2.631 0.000 8.967
Cs Er U Te
3 1 2 6
direct
0.000 0.000 0.000
0.332 0.668 0.000
0.668 0.332 0.000
0.500 0.500 0.500
0.167 0.833 0.500
0.833 0.167 0.500
0.108 0.436 0.309
0.235 0.235 0.691
0.436 0.108 0.309
0.564 0.892 0.691
0.765 0.765 0.309
0.892 0.564 0.691
```

Computed properties:
The symmetry is C2/m. Its raw formation energy is -1.00 eV per atom.


Record 5
ZrTaSe2 | PBE | optimized geometry

The structure in POSCAR format:
```
ZrTaSe2
1.0
8.090 0.000 0.000
0.000 3.338 0.000
-1.338 0.000 5.667
Zr Ta Se
2 2 4
direct
0.000 0.000 0.000
0.500 0.500 0.000
0.000 0.500 0.500
0.500 0.000 0.500
0.245 0.000 0.729
0.255 0.500 0.271
0.745 0.500 0.729
0.755 0.000 0.271
```

Computed properties:
The energy above the most stable polymorph in this dataset comes out at 4.98 kcal/mol of atoms. The symmetry is C2/m. Its raw formation energy is -0.53 eV per atom.


Record 6
CaCu2W | PBE | optimized geometry

The structure in POSCAR format:
```
CaCu2W
1.0
8.662 0.000 0.000
0.000 2.781 0.000
-0.718 0.000 6.000
Ca Cu W
2 4 2
direct
0.000 0.000 0.000
0.500 0.500 0.000
0.242 0.000 0.677
0.258 0.500 0.323
0.742 0.500 0.677
0.758 0.000 0.323
0.000 0.500 0.500
0.500 0.000 0.500
```

Computed properties:
The energy above the most stable polymorph in this dataset comes out at 3.12 kcal/mol of atoms. The symmetry is C2/m.


Record 7
IrPb2W | PBE | optimized geometry

The structure in POSCAR format:
```
IrPb2W
1.0
3.701 0.000 0.000
0.000 5.015 0.000
0.000 0.000 8.746
Ir Pb W
2 4 2
direct
0.000 0.000 0.000
0.500 0.500 0.000
0.000 0.500 0.238
0.000 0.500 0.762
0.500 0.000 0.238
0.500 0.000 0.762
0.000 0.000 0.500
0.500 0.500 0.500
```

Computed properties:
The energy above the most stable polymorph in this dataset comes out at 16.29 kcal/mol of atoms. The symmetry is Cmmm.


Record 8
AlAgCl2 | PBE | optimized geometry

The structure in POSCAR format:
```
AlAgCl2
1.0
6.452 0.000 0.000
0.000 6.452 0.000
0.000 0.000 12.362
Al Ag Cl
4 4 8
direct
0.000 0.000 0.000
0.000 0.500 0.250
0.500 0.000 0.750
0.500 0.500 0.500
0.000 0.000 0.500
0.000 0.500 0.750
0.500 0.000 0.250
0.500 0.500 0.000
0.213 0.250 0.625
0.250 0.713 0.875
0.250 0.787 0.375
0.287 0.250 0.125
0.713 0.750 0.125
0.750 0.213 0.375
0.750 0.287 0.875
0.787 0.750 0.625
```

Computed properties:
The energy above the most stable polymorph in this dataset comes out at 9.91 kcal/mol of atoms. The symmetry is I-42d. Its raw formation energy is -0.32 eV per atom.


Record 9
Pr6NdEr2 | PBE | optimized geometry

The structure in POSCAR format:
```
Pr6NdEr2
1.0
8.347 0.000 0.000
0.000 8.347 0.000
0.000 0.000 10.577
Pr Nd Er
12 2 4
direct
0.238 0.238 0.000
0.239 0.239 0.334
0.239 0.239 0.666
0.261 0.739 0.166
0.261 0.739 0.834
0.262 0.738 0.500
0.738 0.262 0.500
0.739 0.261 0.166
0.739 0.261 0.834
0.761 0.761 0.334
0.761 0.761 0.666
0.762 0.762 0.000
0.000 0.000 0.500
0.500 0.500 0.000
0.000 0.000 0.164
0.000 0.000 0.836
0.500 0.500 0.336
0.500 0.500 0.664
```

Computed properties:
The energy above the most stable polymorph in this dataset comes out at 11.25 kcal/mol of atoms. The symmetry is P4_2/mnm.


Record 10
SrLi2Ac2In2 | PBE | optimized geometry

The structure in POSCAR format:
```
SrLi2Ac2In2
1.0
2.562 1.479 9.988
-2.562 1.479 9.988
0.000 -2.959 9.988
Sr Li Ac In
1 2 2 2
direct
0.000 0.000 0.000
0.396 0.396 0.396
0.604 0.604 0.604
0.128 0.128 0.128
0.872 0.872 0.872
0.260 0.260 0.260
0.740 0.740 0.740
```

Computed properties:
The symmetry is R-3m.


Record 11
LaErMg | PBE | optimized geometry

The structure in POSCAR format:
```
LaErMg
1.0
5.549 0.000 0.000
-2.775 4.806 0.000
0.000 0.000 3.420
La Er Mg
1 1 1
direct
0.000 0.000 0.000
0.667 0.333 0.574
0.333 0.667 0.342
```

Computed properties:
The energy above the most stable polymorph in this dataset comes out at 2.05 kcal/mol of atoms. The symmetry is P3m1.


Record 12
TiBeNi6 | PBE | optimized geometry

The structure in POSCAR format:
```
TiBeNi6
1.0
5.029 0.000 0.000
0.000 5.029 0.000
0.000 0.000 3.465
Ti Be Ni
1 1 6
direct
0.000 0.000 0.000
0.500 0.500 0.000
0.000 0.500 0.000
0.259 0.259 0.500
0.259 0.741 0.500
0.500 0.000 0.000
0.741 0.259 0.500
0.741 0.741 0.500
```

Computed properties:
The energy above the most stable polymorph in this dataset comes out at 0.00 kcal/mol of atoms. The symmetry is P4/mmm.


Record 13
PmCo2B6 | PBE | optimized geometry

The structure in POSCAR format:
```
PmCo2B6
1.0
-1.587 3.134 4.119
1.587 -3.134 4.119
1.587 3.134 -4.119
Pm Co B
1 2 6
direct
0.000 0.000 0.000
0.339 0.839 0.500
0.661 0.161 0.500
0.071 0.304 0.767
0.360 0.500 0.860
0.464 0.696 0.767
0.536 0.304 0.233
0.640 0.500 0.140
0.929 0.696 0.233
```

Computed properties:
The symmetry is Immm.


Record 14
HoTm2HfP4 | PBE | optimized geometry

The structure in POSCAR format:
```
HoTm2HfP4
1.0
6.726 0.000 0.000
0.000 3.879 0.000
-2.220 0.000 6.353
Ho Tm Hf P
1 2 1 4
direct
0.000 0.000 0.000
0.500 0.000 0.500
0.500 0.500 0.000
0.000 0.500 0.500
0.240 0.000 0.738
0.246 0.500 0.258
0.754 0.500 0.742
0.760 0.000 0.262
```

Computed properties:
The symmetry is P2/m.


Record 15
Hf2CuRu4 | PBE | optimized geometry

The structure in POSCAR format:
```
Hf2CuRu4
1.0
4.428 0.000 0.000
0.000 4.428 0.000
0.000 0.000 13.175
Hf Cu Ru
4 2 8
direct
0.000 0.000 0.127
0.000 0.000 0.873
0.500 0.500 0.373
0.500 0.500 0.627
0.000 0.000 0.500
0.500 0.500 0.000
0.000 0.000 0.317
0.000 0.000 0.683
0.000 0.500 0.000
0.000 0.500 0.500
0.500 0.000 0.000
0.500 0.000 0.500
0.500 0.500 0.183
0.500 0.500 0.817
```

Computed properties:
The symmetry is I4/mmm.


Record 16
Ho12Ag2Hg5 | PBE | optimized geometry

The structure in POSCAR format:
```
Ho12Ag2Hg5
1.0
7.028 -4.298 0.000
7.028 4.298 0.000
-0.755 0.000 8.982
Ho Ag Hg
12 2 5
direct
0.024 0.024 0.243
0.087 0.661 0.446
0.106 0.521 0.825
0.339 0.913 0.554
0.425 0.425 0.158
0.479 0.894 0.175
0.521 0.106 0.825
0.575 0.575 0.842
0.661 0.087 0.446
0.894 0.479 0.175
0.913 0.339 0.554
0.976 0.976 0.757
0.232 0.768 0.000
0.768 0.232 0.000
0.167 0.167 0.953
0.249 0.249 0.373
0.500 0.500 0.500
0.751 0.751 0.627
0.833 0.833 0.047
```

Computed properties:
The symmetry is C2/m.


Record 17
RbPmVCl6 | PBE | optimized geometry

The structure in POSCAR format:
```
RbPmVCl6
1.0
6.776 0.000 0.000
-3.388 5.868 0.000
0.000 0.000 14.859
Rb Pm V Cl
2 2 2 12
direct
0.000 0.000 0.000
0.000 0.000 0.500
0.333 0.667 0.250
0.667 0.333 0.750
0.333 0.667 0.750
0.667 0.333 0.250
0.026 0.380 0.650
0.026 0.646 0.850
0.354 0.380 0.850
0.354 0.974 0.650
0.380 0.026 0.150
0.380 0.354 0.350
0.620 0.646 0.650
0.620 0.974 0.850
0.646 0.026 0.350
0.646 0.620 0.150
0.974 0.354 0.150
0.974 0.620 0.350
```

Computed properties:
The symmetry is P-31c. Its raw formation energy is -1.85 eV per atom.


Record 18
Tl6Pd8Au | PBE | optimized geometry

The structure in POSCAR format:
```
Tl6Pd8Au
1.0
4.053 2.340 5.458
-4.053 2.340 5.458
0.000 -4.680 5.458
Tl Pd Au
6 8 1
direct
0.132 0.423 0.672
0.328 0.868 0.577
0.423 0.672 0.132
0.577 0.328 0.868
0.672 0.132 0.423
0.868 0.577 0.328
0.055 0.818 0.408
0.181 0.181 0.181
0.182 0.592 0.945
0.408 0.055 0.818
0.592 0.945 0.182
0.818 0.408 0.055
0.819 0.819 0.819
0.945 0.182 0.592
0.000 0.000 0.000
```

Computed properties:
The symmetry is R-3.


Record 19
DyBi2Pd7 | PBE | optimized geometry

The structure in POSCAR format:
```
DyBi2Pd7
1.0
-2.042 2.042 11.899
2.042 -2.042 11.899
2.042 2.042 -11.899
Dy Bi Pd
1 2 7
direct
0.000 0.000 0.000
0.332 0.332 0.000
0.668 0.668 0.000
0.088 0.588 0.500
0.250 0.750 0.500
0.412 0.912 0.500
0.500 0.500 0.000
0.588 0.088 0.500
0.750 0.250 0.500
0.912 0.412 0.500
```

Computed properties:
The energy above the most stable polymorph in this dataset comes out at 0.00 kcal/mol of atoms. The symmetry is I4/mmm.


Record 20
CsHg5Sb2 | PBE | optimized geometry

The structure in POSCAR format:
```
CsHg5Sb2
1.0
5.965 0.000 0.000
0.698 6.020 0.000
1.842 1.376 8.607
Cs Hg Sb
1 5 2
direct
0.000 0.000 0.000
0.166 0.555 0.690
0.252 0.946 0.396
0.500 0.500 0.000
0.748 0.054 0.604
0.834 0.445 0.310
0.333 0.449 0.314
0.667 0.551 0.686
```

Computed properties:
The symmetry is P-1. Its raw formation energy is -0.06 eV per atom.


Record 21
Y2Ga3Cu4Sn | PBE | optimized geometry

The structure in POSCAR format:
```
Y2Ga3Cu4Sn
1.0
4.182 0.000 0.000
0.000 4.182 0.000
0.000 0.000 10.343
Y Ga Cu Sn
2 3 4 1
direct
0.000 0.500 0.233
0.500 0.000 0.767
0.000 0.500 0.876
0.500 0.000 0.124
0.500 0.500 0.500
0.000 0.000 0.000
0.000 0.500 0.647
0.500 0.000 0.353
0.500 0.500 0.000
0.000 0.000 0.500
```

Computed properties:
The symmetry is P-4m2.


Record 22
TbSm4Pb2 | PBE | optimized geometry

The structure in POSCAR format:
```
TbSm4Pb2
1.0
5.485 0.000 0.000
0.000 5.485 0.000
0.000 0.000 16.720
Tb Sm Pb
2 8 4
direct
0.000 0.000 0.000
0.500 0.500 0.500
0.000 0.000 0.183
0.000 0.000 0.817
0.000 0.500 0.000
0.000 0.500 0.500
0.500 0.000 0.000
0.500 0.000 0.500
0.500 0.500 0.317
0.500 0.500 0.683
0.000 0.000 0.369
0.000 0.000 0.631
0.500 0.500 0.131
0.500 0.500 0.869
```

Computed properties:
The symmetry is I4/mmm.


no.,E_tot (eV per atom)
1,-6.7519
2,-3.9777
3,-3.5029
4,-5.0500
5,-7.3697
6,-5.2518
7,-6.3161
8,-2.8881
9,-4.1419
10,-2.9671
11,-3.6495
12,-6.1001
13,-7.0054
14,-7.1705
15,-8.0142
16,-3.4141
17,-4.7275
18,-4.0211
19,-5.3341
20,-1.3848
21,-4.6462
22,-4.0586